(1)
Here is an optimized crystal structure of ZnGeO2 from Alexandria via LeMat-Bulk. Energies are from PBEsol.

## Properties
- Raw total energy: -5.2683 eV per atom
- E_form (uncorrected): -1013 meV per atom

a b c (Å): 6.128 6.128 6.128
angles (deg): 28.55 28.55 28.55
Fractional positions:
Zn  0.000  0.000  0.000
Ge  0.500  0.500  0.500
O  0.396  0.396  0.396
O  0.604  0.604  0.604

(2)
Here is an optimized crystal structure of ZrZnSb2 from Alexandria via LeMat-Bulk. Energies are from PBEsol.

## Properties
- Raw total energy: -5.1528 eV per atom
- E_form (uncorrected): -206 meV per atom

a b c (Å): 4.722 4.722 3.771
angles (deg): 90.00 90.00 90.00
Fractional positions:
Zr  0.000  0.000  0.000
Zn  0.500  0.500  0.000
Sb  0.000  0.500  0.500
Sb  0.500  0.000  0.500

(3)
Here is an optimized crystal structure of TlSb2Pb from Alexandria via LeMat-Bulk. Energies are from PBEsol.

## Properties
- Raw total energy: -3.9018 eV per atom
- E_form (uncorrected): 34 meV per atom

a b c (Å): 3.167 5.573 6.519
angles (deg): 90.00 90.02 90.00
Fractional positions:
Tl  0.000  0.000  0.000
Sb  0.498  0.500  0.716
Sb  0.500  0.000  0.510
Pb  0.502  0.500  0.224

(4)
Here is an optimized crystal structure of Na3ZrC from Alexandria via LeMat-Bulk. Energies are from PBEsol.

## Properties
- Raw total energy: -2.0156 eV per atom

a b c (Å): 6.279 6.279 6.279
angles (deg): 90.00 90.00 90.00
Fractional positions:
Na  0.000  0.000  0.500
Na  0.000  0.500  0.000
Na  0.500  0.000  0.000
Zr  0.000  0.000  0.000
C  0.500  0.500  0.500

(5)
Here is an optimized crystal structure of PrNi3 from Alexandria via LeMat-Bulk. Energies are from PBEsol.

## Properties
- Raw total energy: -6.1381 eV per atom

a b c (Å): 5.195 5.195 5.195
angles (deg): 45.52 45.52 45.52
Fractional positions:
Pr  0.000  0.000  0.000
Ni  0.194  0.194  0.194
Ni  0.500  0.500  0.500
Ni  0.806  0.806  0.806

(6)
Here is an optimized crystal structure of CaMgCd2 from Alexandria via LeMat-Bulk. Energies are from PBEsol.

## Properties
- Raw total energy: -1.7775 eV per atom

a b c (Å): 3.423 4.818 6.137
angles (deg): 90.00 106.10 90.00
Fractional positions:
Ca  0.000  0.000  0.000
Mg  0.324  0.500  0.650
Cd  0.600  0.500  0.200
Cd  0.735  0.000  0.475

(7)
Here is an optimized crystal structure of LiAlGeO4 from Alexandria via LeMat-Bulk. Energies are from PBEsol.

## Properties
- Raw total energy: -6.8688 eV per atom
- E_form (uncorrected): -2298 meV per atom
- Polymorph energy (0 for the lowest one): 2.6 kJ/mol of atoms

a b c (Å): 8.521 8.521 8.521
angles (deg): 107.81 107.81 107.81
Fractional positions:
Li  0.032  0.426  0.263
Li  0.263  0.032  0.426
Li  0.426  0.263  0.032
Li  0.574  0.737  0.968
Li  0.737  0.968  0.574
Li  0.968  0.574  0.737
Al  0.065  0.293  0.885
Al  0.115  0.935  0.707
Al  0.293  0.885  0.065
Al  0.707  0.115  0.935
Al  0.885  0.065  0.293
Al  0.935  0.707  0.115
Ge  0.221  0.394  0.635
Ge  0.365  0.779  0.606
Ge  0.394  0.635  0.221
Ge  0.606  0.365  0.779
Ge  0.635  0.221  0.394
Ge  0.779  0.606  0.365
O  0.098  0.425  0.761
O  0.123  0.175  0.455
O  0.155  0.815  0.835
O  0.165  0.845  0.185
O  0.175  0.455  0.123
O  0.185  0.165  0.845
O  0.219  0.543  0.525
O  0.239  0.902  0.575
O  0.425  0.761  0.098
O  0.455  0.123  0.175
O  0.457  0.475  0.781
O  0.475  0.781  0.457
O  0.525  0.219  0.543
O  0.543  0.525  0.219
O  0.545  0.877  0.825
O  0.575  0.239  0.902
O  0.761  0.098  0.425
O  0.781  0.457  0.475
O  0.815  0.835  0.155
O  0.825  0.545  0.877
O  0.835  0.155  0.815
O  0.845  0.185  0.165
O  0.877  0.825  0.545
O  0.902  0.575  0.239

(8)
Here is an optimized crystal structure of Tb2Mo2C3 from Alexandria via LeMat-Bulk. Energies are from PBEsol.

## Properties
- Raw total energy: -9.3286 eV per atom

a b c (Å): 6.083 6.083 5.683
angles (deg): 111.86 111.86 31.63
Fractional positions:
Tb  0.109  0.109  0.322
Tb  0.891  0.891  0.678
Mo  0.342  0.342  0.174
Mo  0.658  0.658  0.826
C  0.251  0.251  0.767
C  0.500  0.500  0.500
C  0.749  0.749  0.233

(9)
Here is an optimized crystal structure of Er12Co5Bi from Alexandria via LeMat-Bulk. Energies are from PBEsol.

## Properties
- Raw total energy: -5.9857 eV per atom

a b c (Å): 8.082 8.082 8.082
angles (deg): 110.91 110.84 106.70
Fractional positions:
Er  0.013  0.208  0.806
Er  0.184  0.288  0.471
Er  0.184  0.712  0.896
Er  0.312  0.003  0.692
Er  0.312  0.620  0.308
Er  0.402  0.208  0.194
Er  0.598  0.792  0.806
Er  0.688  0.380  0.692
Er  0.688  0.997  0.308
Er  0.816  0.288  0.104
Er  0.816  0.712  0.529
Er  0.987  0.792  0.194
Co  0.000  0.000  0.000
Co  0.112  0.612  0.500
Co  0.375  0.000  0.375
Co  0.625  0.000  0.625
Co  0.888  0.388  0.500
Bi  0.500  0.500  0.000

(10)
Here is an optimized crystal structure of YCoIr2 from Alexandria via LeMat-Bulk. Energies are from PBEsol.

## Properties
- Raw total energy: -8.6287 eV per atom
- Polymorph energy (0 for the lowest one): 0.0 kJ/mol of atoms

a b c (Å): 4.891 4.891 4.750
angles (deg): 103.67 103.67 34.17
Fractional positions:
Y  0.000  0.000  0.000
Co  0.500  0.500  0.500
Ir  0.233  0.233  0.718
Ir  0.767  0.767  0.282

(11)
Here is an optimized crystal structure of LiVBO4 from Alexandria via LeMat-Bulk. Energies are from PBEsol.

## Properties
- Raw total energy: -7.9576 eV per atom
- E_form (uncorrected): -2298 meV per atom
- Polymorph energy (0 for the lowest one): 0.6 kJ/mol of atoms

a b c (Å): 8.214 8.214 5.121
angles (deg): 90.00 90.00 111.27
Fractional positions:
Li  0.225  0.724  0.000
Li  0.276  0.775  0.500
Li  0.724  0.225  0.500
Li  0.775  0.276  0.000
V  0.128  0.323  0.299
V  0.323  0.128  0.799
V  0.677  0.872  0.799
V  0.872  0.677  0.299
B  0.192  0.423  0.744
B  0.423  0.192  0.244
B  0.577  0.808  0.244
B  0.808  0.577  0.744
O  0.083  0.775  0.269
O  0.188  0.524  0.530
O  0.189  0.473  0.995
O  0.193  0.261  0.655
O  0.225  0.917  0.769
O  0.261  0.193  0.155
O  0.473  0.189  0.495
O  0.476  0.812  0.030
O  0.524  0.188  0.030
O  0.527  0.811  0.495
O  0.739  0.807  0.155
O  0.775  0.083  0.769
O  0.807  0.739  0.655
O  0.811  0.527  0.995
O  0.812  0.476  0.530
O  0.917  0.225  0.269

(12)
Here is an optimized crystal structure of Zr6Al16Ru7 from Alexandria via LeMat-Bulk. Energies are from PBEsol.

## Properties
- Raw total energy: -7.2194 eV per atom

a b c (Å): 8.656 8.656 8.656
angles (deg): 60.00 60.00 60.00
Fractional positions:
Zr  0.206  0.206  0.794
Zr  0.206  0.794  0.206
Zr  0.206  0.794  0.794
Zr  0.794  0.206  0.206
Zr  0.794  0.206  0.794
Zr  0.794  0.794  0.206
Al  0.142  0.619  0.619
Al  0.163  0.163  0.163
Al  0.163  0.163  0.510
Al  0.163  0.510  0.163
Al  0.381  0.381  0.381
Al  0.381  0.381  0.858
Al  0.381  0.858  0.381
Al  0.490  0.837  0.837
Al  0.510  0.163  0.163
Al  0.619  0.142  0.619
Al  0.619  0.619  0.142
Al  0.619  0.619  0.619
Al  0.837  0.490  0.837
Al  0.837  0.837  0.490
Al  0.837  0.837  0.837
Al  0.858  0.381  0.381
Ru  0.000  0.000  0.500
Ru  0.000  0.500  0.000
Ru  0.000  0.500  0.500
Ru  0.500  0.000  0.000
Ru  0.500  0.000  0.500
Ru  0.500  0.500  0.000
Ru  0.500  0.500  0.500

> Which value of raw total energy does entry 7 give?

-6.8688 eV per atom